No. 1
Entry from Alexandria via LeMat-Bulk: LiZr2Tl after structural relaxation (PBE-GGA).

Computed properties:
For the formation energy, the calculation gives 0.199 eV/atom.

a b c (Å): 10.4240 10.4240 10.4240
angles (deg): 17.54 17.54 17.54
Sites, in units of the cell vectors:
Li (0.0000, 0.0000, 0.0000)
Zr (0.2527, 0.2527, 0.2527)
Zr (0.7473, 0.7473, 0.7473)
Tl (0.5000, 0.5000, 0.5000)

No. 2
Entry from Alexandria via LeMat-Bulk: Ga2BRu2 after structural relaxation (PBE-GGA).

Computed properties:
For the formation energy, the calculation gives 0.976 eV/atom.

a b c (Å): 6.7433 6.7433 6.7433
angles (deg): 149.25 149.25 44.05
Sites, in units of the cell vectors:
Ga (0.0976, 0.0976, 0.0000)
Ga (0.9024, 0.9024, 0.0000)
B (0.5000, 0.5000, 0.0000)
Ru (0.2500, 0.7500, 0.5000)
Ru (0.7500, 0.2500, 0.5000)

No. 3
Entry from Alexandria via LeMat-Bulk: Tl2PW2 after structural relaxation (PBE-GGA).

Computed properties:
For the formation energy, the calculation gives 1.394 eV/atom.

a b c (Å): 7.6770 7.6770 7.6770
angles (deg): 151.43 151.43 40.84
Sites, in units of the cell vectors:
Tl (0.2500, 0.7500, 0.5000)
Tl (0.7500, 0.2500, 0.5000)
P (0.0000, 0.0000, 0.0000)
W (0.4160, 0.4160, 0.0000)
W (0.5840, 0.5840, 0.0000)

No. 4
Entry from Alexandria via LeMat-Bulk: MgCrRh after structural relaxation (PBE-GGA).

Computed properties:
For the formation energy, the calculation gives 0.028 eV/atom.

a b c (Å): 5.5435 5.5435 5.5435
angles (deg): 149.65 149.65 43.46
Sites, in units of the cell vectors:
Mg (0.0000, 0.0000, 0.0000)
Cr (0.3185, 0.3185, 0.0000)
Rh (0.6770, 0.6770, 0.0000)

No. 5
Entry from Alexandria via LeMat-Bulk: ScTlTc after structural relaxation (PBE-GGA).

Computed properties:
For the formation energy, the calculation gives 0.216 eV/atom.

a b c (Å): 4.7294 4.7294 2.9891
angles (deg): 90.00 90.00 120.00
Sites, in units of the cell vectors:
Sc (0.0000, 0.0000, 0.0000)
Tl (0.3333, 0.6667, 0.5839)
Tc (0.6667, 0.3333, 0.2724)

No. 6
Entry from Alexandria via LeMat-Bulk: CoTc2Ni2 after structural relaxation (PBE-GGA).

Computed properties:
For the formation energy, the calculation gives 0.601 eV/atom.

a b c (Å): 6.2786 6.2786 6.2786
angles (deg): 147.67 147.67 46.37
Sites, in units of the cell vectors:
Co (0.0000, 0.0000, 0.0000)
Tc (0.2500, 0.7500, 0.5000)
Tc (0.7500, 0.2500, 0.5000)
Ni (0.4058, 0.4058, 0.0000)
Ni (0.5942, 0.5942, 0.0000)

no.,magnetic moment (μB per cell),total DFT energy (no corrections) (eV/f.u.)
1,0.00,-20.58
2,0.00,-26.40
3,0.00,-29.08
4,0.00,-18.49
5,0.26,-18.41
6,2.51,-36.39